No. 1
The following is a DFT calculation (PBE) of a relaxed BaMgHg2 crystal.

a b c (Å): 7.2458 7.2458 7.2458
angles (deg): 58.81 149.66 130.90
Closest atoms and distances in Å follow each position.
Fractional positions:
1 Ba 0.0000 0.5000 0.5000  2 Hg 3.52, 4 Mg 3.56, 2 Ba 3.79
2 Mg 0.0000 0.0000 0.0000  2 Hg 2.80
3 Hg 0.0000 0.2215 0.2215  1 Mg 2.80
4 Hg 0.0000 0.7785 0.7785  1 Mg 2.80

Results
As for the total energy: -3.9 eV/cell. The value obtained for the calculated formation energy is 50.6 meV per atom. For the density, the calculation gives 6.49 g cm⁻³. Its space group is Immm (71).



No. 2
The following is a DFT calculation (PBE) of a relaxed BaMgHg2 crystal.

a b c (Å): 4.6299 4.0924 7.0328
angles (deg): 73.91 90.00 90.00
Closest atoms and distances in Å follow each position.
Fractional positions:
1 Ba 0.5000 0.7656 0.7964  5 Hg 3.34-3.46
2 Hg 0.0000 0.1520 0.0239  2 Hg 3.00, 2 Mg 3.09-3.19
3 Hg 0.5000 0.0794 0.3037  2 Hg 3.00, 4 Mg 3.02-3.24, 1 Ba 3.34
4 Mg 0.0000 0.5030 0.3759  6 Hg 3.02-3.24

Results
As for the total energy: -5.3 eV/cell. The value obtained for the calculated formation energy is -285.6 meV per atom. For the density, the calculation gives 7.30 g cm⁻³. Its space group is Pm (6).



No. 3
The following is a DFT calculation (PBE) of a relaxed BaMg2Hg3 crystal.

a b c (Å): 6.3336 7.3750 7.3750
angles (deg): 104.20 90.00 90.00
Closest atoms and distances in Å follow each position.
Fractional positions:
1 Ba 0.2500 0.3251 0.3251  9 Hg 3.53-3.95
2 Ba 0.7500 0.6749 0.6749  9 Hg 3.53-3.95
3 Mg 0.5000 0.7966 0.2034  6 Hg 2.81-3.12
4 Mg 0.0000 0.7966 0.2034  6 Hg 2.81-3.12
5 Mg 0.0000 0.2034 0.7966  6 Hg 2.81-3.12
6 Mg 0.5000 0.2034 0.7966  6 Hg 2.81-3.12
7 Hg 0.7500 0.4721 0.1186  4 Mg 2.81-3.12, 1 Hg 2.93
8 Hg 0.7500 0.1186 0.4721  4 Mg 2.81-3.12, 1 Hg 2.93
9 Hg 0.2500 0.5279 0.8814  4 Mg 2.81-3.12, 1 Hg 2.93
10 Hg 0.7500 0.0645 0.0645  4 Mg 2.91, 2 Hg 2.93
11 Hg 0.2500 0.9355 0.9355  4 Mg 2.91, 2 Hg 2.93
12 Hg 0.2500 0.8814 0.5279  4 Mg 2.81-3.12, 1 Hg 2.93

Results
As for the total energy: -16.3 eV/cell. The value obtained for the calculated formation energy is -352.1 meV per atom. For the density, the calculation gives 7.83 g cm⁻³. Its space group is Cmcm (63).